No. 1
TaAlRu2Pb | PBE | optimized geometry

Structure (POSCAR):
```
TaAlRu2Pb
1.0
4.904 0.000 0.000
0.000 4.904 0.000
0.000 0.000 5.141
Ta Al Ru Pb
1 1 2 1
direct
0.000 0.000 0.000
0.500 0.500 0.000
0.000 0.500 0.500
0.500 0.000 0.500
0.000 0.000 0.500
```

For the electronic total energy, the calculation gives -27.0 eV/cell. The symmetry is P4/mmm (123). The formation energy comes out at 2181 meV per atom.

No. 2
AlTlRuPb2 | PBE | optimized geometry

Structure (POSCAR):
```
AlTlRuPb2
1.0
5.754 0.000 0.000
0.000 5.754 0.000
0.000 0.000 5.137
Al Tl Ru Pb
1 1 1 2
direct
0.000 0.000 0.000
0.500 0.500 0.500
0.500 0.500 0.000
0.000 0.500 0.500
0.500 0.000 0.500
```

For the electronic total energy, the calculation gives -16.2 eV/cell. The symmetry is P4/mmm (123). The formation energy comes out at 1326 meV per atom.